TmNbW, optimized geometry, DFT PBE; SG = Fddd
1.0
-4.296 2.101 -1.557
-4.713 -3.016 0.813
-3.345 5.387 8.373
W Nb Tm
4 4 4
direct
0.125 0.000 0.750
0.625 0.500 0.750
0.875 0.500 0.250
0.875 0.000 0.250
0.163 0.500 0.674
0.337 0.500 0.326
0.413 0.000 0.174
0.587 0.000 0.826
0.905 0.191 0.500
0.845 0.309 0.000
0.595 0.809 0.500
0.155 0.691 0.000


TmNbW4, optimized geometry, DFT PBE; SG = F-43m
1.0
-0.360 0.981 -5.302
-4.390 -1.552 -2.743
-3.488 3.698 -1.833
W Nb Tm
4 1 1
direct
0.125 0.625 0.625
0.625 0.625 0.125
0.625 0.125 0.625
0.625 0.625 0.625
0.250 0.250 0.250
0.000 0.000 0.000


no.,DOS at the Fermi energy (states/eV per atom),energy of formation (eV/atom),total magnetization (Bohr magnetons per cell)
1,0.98,0.329,0.00
2,0.53,0.041,0.00